[1]
The following is a PBE-GGA calculation of a relaxed SrV2FeTe crystal, from Alexandria.

Results
volume = 31.2 Å³ per atom
formation energy (no corrections) = 1296 meV/atom
mass density = 3.97 g cm⁻³

Cell: 5.069 5.069 6.067 Å, 90.00 90.00 90.00°
Element x y z (fractional)
Sr: 0.000 0.000 0.000
V: 0.000 0.500 0.500
V: 0.500 0.000 0.500
Fe: 0.500 0.500 0.000
Te: 0.000 0.000 0.500

---

[2]
The following is a PBE-GGA calculation of a relaxed AlNi crystal, from Alexandria.

Results
volume = 19.2 Å³ per atom
mass density = 3.71 g cm⁻³
total DFT energy (no corrections) = -8.6 eV/f.u.

Cell: 3.786 3.786 3.786 Å, 60.00 60.00 60.00°
Element x y z (fractional)
Al: 0.000 0.000 0.000
Ni: 0.250 0.250 0.250

---

[3]
The following is a PBE-GGA calculation of a relaxed CoTc2W crystal, from Alexandria.

Results
volume = 14.1 Å³ per atom
mass density = 12.95 g cm⁻³
total DFT energy (no corrections) = -40.3 eV/f.u.

Cell: 4.659 4.659 4.702 Å, 99.72 99.72 34.05°
Element x y z (fractional)
Co: 0.000 0.000 0.000
Tc: 0.259 0.259 0.750
Tc: 0.503 0.503 0.511
W: 0.744 0.744 0.231

---

[4]
The following is a PBE-GGA calculation of a relaxed Np4TaN5 crystal, from Alexandria.

Results
volume = 13.5 Å³ per atom
formation energy (no corrections) = -1128 meV/atom
mass density = 14.78 g cm⁻³

Cell: 5.824 5.824 5.824 Å, 99.68 99.68 131.59°
Element x y z (fractional)
Np: 0.099 0.299 0.399
Np: 0.299 0.901 0.200
Np: 0.701 0.099 0.800
Np: 0.901 0.701 0.601
Ta: 0.500 0.500 0.000
N: 0.000 0.000 0.000
N: 0.216 0.596 0.812
N: 0.404 0.216 0.620
N: 0.596 0.784 0.380
N: 0.784 0.404 0.188

---

[5]
The following is a PBE-GGA calculation of a relaxed NaSrPmBi crystal, from Alexandria.

Results
volume = 33.0 Å³ per atom
mass density = 5.84 g cm⁻³
total DFT energy (no corrections) = -12.7 eV/f.u.

Cell: 5.716 5.716 5.716 Å, 60.00 60.00 60.00°
Element x y z (fractional)
Na: 0.000 0.000 0.000
Sr: 0.250 0.250 0.250
Pm: 0.750 0.750 0.750
Bi: 0.500 0.500 0.500

---

[6]
The following is a PBE-GGA calculation of a relaxed AlTcNi2 crystal, from Alexandria.

Results
volume = 12.5 Å³ per atom
mass density = 8.03 g cm⁻³
total DFT energy (no corrections) = -26.6 eV/f.u.

Cell: 4.458 4.458 4.565 Å, 100.43 100.43 34.24°
Element x y z (fractional)
Al: 0.000 0.000 0.000
Tc: 0.755 0.755 0.302
Ni: 0.257 0.257 0.788
Ni: 0.506 0.506 0.522